This record from Alexandria describes crystalline Ta2PbBr at its relaxed geometry. The functional is GGA-PBEsol.

Output
Formation energy without anion corrections: 0.875 eV per atom
Size of the total moment: 0.00 μB/cell

Cell lengths 4.858, 4.858, 4.858 Å; angles 60.00, 60.00, 60.00 degrees
Sites, in units of the cell vectors:
Ta (0.000, 0.000, 0.000)
Ta (0.250, 0.250, 0.250)
Pb (0.750, 0.750, 0.750)
Br (0.500, 0.500, 0.500)

This record from Alexandria describes crystalline TaPb2Br at its relaxed geometry. The functional is GGA-PBEsol.

Output
Formation energy without anion corrections: 0.408 eV per atom
Size of the total moment: 0.33 μB/cell

Cell lengths 7.459, 7.459, 7.459 Å; angles 155.87, 143.03, 44.64 degrees
Sites, in units of the cell vectors:
Ta (0.000, 0.000, 0.000)
Pb (0.190, 0.690, 0.500)
Pb (0.810, 0.310, 0.500)
Br (0.500, 0.500, 0.000)

This record from Alexandria describes crystalline TaPb2Br at its relaxed geometry. The functional is GGA-PBEsol.

Output
Formation energy without anion corrections: 0.670 eV per atom
Size of the total moment: 0.95 μB/cell

Cell lengths 5.633, 5.633, 5.633 Å; angles 132.81, 132.81, 68.95 degrees
Sites, in units of the cell vectors:
Ta (0.000, 0.000, 0.000)
Pb (0.250, 0.750, 0.500)
Pb (0.750, 0.250, 0.500)
Br (0.500, 0.500, 0.000)

This record from Alexandria describes crystalline Tc2PbBr at its relaxed geometry. The functional is GGA-PBEsol.

Output
Formation energy without anion corrections: 1.190 eV per atom
Size of the total moment: 1.55 μB/cell

Cell lengths 4.690, 4.690, 4.690 Å; angles 60.00, 60.00, 60.00 degrees
Sites, in units of the cell vectors:
Tc (0.000, 0.000, 0.000)
Tc (0.250, 0.250, 0.250)
Pb (0.500, 0.500, 0.500)
Br (0.750, 0.750, 0.750)

Which value of formation energy without anion corrections does entry 4 give?
1.190 eV per atom